[1]
The following is a PBE calculation of crystalline CaMg2Ru at its relaxed geometry, from Alexandria.

Cell: 4.293 4.293 4.498 Å, 90.00 90.00 90.00°
Sites, in units of the cell vectors:
Ca  0.000  0.000  0.000
Mg  0.000  0.500  0.500
Mg  0.500  0.000  0.500
Ru  0.500  0.500  0.000

Total moment, μB/cell: 0.37
Energy of formation, eV per atom: 0.206
Space group: P4/mmm
Calculated density, g/cm3: 3.801

***

[2]
The following is a PBE calculation of crystalline CaMg2Ru at its relaxed geometry, from Alexandria.

Cell: 3.433 3.433 7.191 Å, 90.00 90.00 90.00°
Sites, in units of the cell vectors:
Ca  0.000  0.000  0.000
Mg  0.500  0.500  0.315
Mg  0.500  0.500  0.685
Ru  0.000  0.000  0.500

Total moment, μB/cell: 0.00
Energy of formation, eV per atom: 0.057
Space group: P4/mmm
Calculated density, g/cm3: 3.717

***

Energy list, top to bottom, in eV/atom: -3.4110, -3.5597